Computed, not measured: Rb2Na6Au3 after structural relaxation at the PBE level of DFT.

Unit cell a=9.2627 b=9.2627 c=5.0765 alpha=90.00 beta=90.00 gamma=120.00
Atoms (fractional coordinates):
Rb (0.3333, 0.6667, 0.0000)
Rb (0.6667, 0.3333, 0.0000)
Na (0.0000, 0.2151, 0.0000)
Na (0.0000, 0.7071, 0.5000)
Na (0.2151, 0.0000, 0.0000)
Na (0.2929, 0.2929, 0.5000)
Na (0.7071, 0.0000, 0.5000)
Na (0.7849, 0.7849, 0.0000)
Au (0.0000, 0.3794, 0.5000)
Au (0.3794, 0.0000, 0.5000)
Au (0.6206, 0.6206, 0.5000)



Computed, not measured: CuNiRu after structural relaxation at the PBE level of DFT.

Unit cell a=4.4879 b=4.4879 c=4.5018 alpha=99.79 beta=99.79 gamma=119.76
Atoms (fractional coordinates):
Cu (0.0000, 0.0000, 0.0000)
Cu (0.6707, 0.3293, 0.0000)
Ni (0.5183, 0.4817, 0.5000)
Ni (0.8518, 0.1482, 0.5000)
Ru (0.1857, 0.8143, 0.5000)
Ru (0.3351, 0.6649, 0.0000)

energy above the most stable polymorph in this dataset: 43 meV per atom



no.,ΔE_f (eV per atom)
1,-0.1553
2,0.1755